1.
# Si2Pb2S5 (GGA-PBE, optimized geometry)
# - Space-group type: C2/m, No. 12
# - Crystal system: monoclinic
data_Si2Pb2S5
_cell_length_a 5.024
_cell_length_b 6.931
_cell_length_c 6.847
_cell_angle_alpha 107.79
_cell_angle_beta 90.00
_cell_angle_gamma 111.25
_space_group_name_H-M_alt 'P 1'
_space_group_IT_number 1
_space_group_name_Hall 'P 1'
loop_
_atom_site_label
_atom_site_type_symbol
_atom_site_fract_x
_atom_site_fract_y
_atom_site_fract_z
S1 S 0.664 0.328 0.920
S2 S 0.154 0.307 0.565
S3 S 0.000 0.000 0.000
S4 S 0.336 0.672 0.080
S5 S 0.846 0.693 0.435
Pb1 Pb 0.391 0.781 0.698
Pb2 Pb 0.609 0.219 0.302
Si1 Si 0.159 0.318 0.886
Si2 Si 0.841 0.682 0.114

=====

2.
# Si2PbS (GGA-PBE, optimized geometry)
# - Space-group type: Fm-3m, No. 225
# - Crystal system: cubic
data_Si2PbS
_cell_length_a 4.834
_cell_length_b 4.834
_cell_length_c 4.834
_cell_angle_alpha 60.00
_cell_angle_beta 60.00
_cell_angle_gamma 60.00
_space_group_name_H-M_alt 'P 1'
_space_group_IT_number 1
_space_group_name_Hall 'P 1'
loop_
_atom_site_label
_atom_site_type_symbol
_atom_site_fract_x
_atom_site_fract_y
_atom_site_fract_z
Si1 Si 0.250 0.250 0.250
Si2 Si 0.750 0.750 0.750
Pb1 Pb 0.500 0.500 0.500
S1 S 0.000 0.000 0.000

=====

3.
# SiPb2S (GGA-PBE, optimized geometry)
# - Space-group type: I-42d, No. 122
# - Crystal system: tetragonal
data_SiPb2S
_cell_length_a 6.296
_cell_length_b 6.296
_cell_length_c 8.207
_cell_angle_alpha 67.44
_cell_angle_beta 67.44
_cell_angle_gamma 90.00
_space_group_name_H-M_alt 'P 1'
_space_group_IT_number 1
_space_group_name_Hall 'P 1'
loop_
_atom_site_label
_atom_site_type_symbol
_atom_site_fract_x
_atom_site_fract_y
_atom_site_fract_z
Pb1 Pb 0.875 0.871 0.750
Pb2 Pb 0.621 0.125 0.250
Pb3 Pb 0.375 0.379 0.750
Pb4 Pb 0.129 0.625 0.250
Si1 Si 0.500 0.500 0.000
Si2 Si 0.250 0.750 0.500
S1 S 0.750 0.250 0.500
S2 S 0.000 0.000 0.000

=====

4.
# Si2PbS (GGA-PBE, optimized geometry)
# - Space-group type: I-42d, No. 122
# - Crystal system: tetragonal
data_Si2PbS
_cell_length_a 4.414
_cell_length_b 4.414
_cell_length_c 9.727
_cell_angle_alpha 76.89
_cell_angle_beta 76.89
_cell_angle_gamma 90.00
_space_group_name_H-M_alt 'P 1'
_space_group_IT_number 1
_space_group_name_Hall 'P 1'
loop_
_atom_site_label
_atom_site_type_symbol
_atom_site_fract_x
_atom_site_fract_y
_atom_site_fract_z
Si1 Si 0.508 0.125 0.250
Si2 Si 0.375 0.492 0.750
Si3 Si 0.242 0.625 0.250
Si4 Si 0.875 0.758 0.750
Pb1 Pb 0.750 0.250 0.500
Pb2 Pb 0.000 0.000 0.000
S1 S 0.500 0.500 0.000
S2 S 0.250 0.750 0.500

=====

5.
# SiPb3S6 (GGA-PBE, optimized geometry)
# - Space-group type: Cmc2_1, No. 36
# - Crystal system: orthorhombic
data_SiPb3S6
_cell_length_a 5.773
_cell_length_b 9.815
_cell_length_c 9.815
_cell_angle_alpha 103.63
_cell_angle_beta 90.00
_cell_angle_gamma 90.00
_space_group_name_H-M_alt 'P 1'
_space_group_IT_number 1
_space_group_name_Hall 'P 1'
loop_
_atom_site_label
_atom_site_type_symbol
_atom_site_fract_x
_atom_site_fract_y
_atom_site_fract_z
S1 S 0.675 0.880 0.410
S2 S 0.175 0.410 0.880
S3 S 0.138 0.072 0.928
S4 S 0.675 0.590 0.120
S5 S 0.713 0.330 0.345
S6 S 0.174 0.781 0.219
S7 S 0.638 0.928 0.072
S8 S 0.213 0.670 0.655
S9 S 0.213 0.345 0.330
S10 S 0.175 0.120 0.590
S11 S 0.713 0.655 0.670
S12 S 0.674 0.219 0.781
Si1 Si 0.038 0.205 0.795
Si2 Si 0.538 0.795 0.205
Pb1 Pb 0.457 0.296 0.062
Pb2 Pb 0.957 0.704 0.938
Pb3 Pb 0.944 0.607 0.393
Pb4 Pb 0.457 0.938 0.704
Pb5 Pb 0.444 0.393 0.607
Pb6 Pb 0.957 0.062 0.296

=====

6.
# Sm6Si2PbS3 (GGA-PBE, optimized geometry)
# - Space-group type: C2/m, No. 12
# - Crystal system: monoclinic
data_Sm6Si2PbS3
_cell_length_a 4.143
_cell_length_b 8.447
_cell_length_c 9.365
_cell_angle_alpha 103.52
_cell_angle_beta 102.78
_cell_angle_gamma 90.00
_space_group_name_H-M_alt 'P 1'
_space_group_IT_number 1
_space_group_name_Hall 'P 1'
loop_
_atom_site_label
_atom_site_type_symbol
_atom_site_fract_x
_atom_site_fract_y
_atom_site_fract_z
Si1 Si 0.834 0.667 0.668
Si2 Si 0.166 0.333 0.332
Sm1 Sm 0.000 0.729 0.000
Sm2 Sm 0.326 0.909 0.652
Sm3 Sm 0.000 0.271 0.000
Sm4 Sm 0.331 0.419 0.662
Sm5 Sm 0.669 0.581 0.338
Sm6 Sm 0.674 0.091 0.348
Pb1 Pb 0.500 0.000 0.000
S1 S 0.500 0.500 0.000
S2 S 0.167 0.831 0.333
S3 S 0.833 0.169 0.667

=====

DOS at the Fermi energy, record by record: 0.13; 0.57; 0.86; 0.18; 0.59; 0.32 states/eV per atom
Uncorrected energy, record by record: -42.1; -15.9; -31.8; -34.9; -90.7; -70.9 eV for the cell shown
Formation energy without anion corrections, record by record: -305; 267; 102; 119; -390; -1508 kJ/mol of formula units